# Mn2RuPb PBE optimized geometry
# Magnetization: 11.84 μB/cell
# Energy of formation: 431 meV per atom
data_Mn2RuPb
_symmetry_space_group_name_H-M 'C 1 m 1'
_symmetry_Int_Tables_number 8
_cell_length_a 8.975
_cell_length_b 3.074
_cell_length_c 4.811
_cell_angle_alpha 90.00
_cell_angle_beta 102.00
_cell_angle_gamma 90.00
loop_
_symmetry_equiv_pos_as_xyz
'x,y,z'
'x,-y,z'
'x+1/2,y+1/2,z'
'x+1/2,-y+1/2,z'
loop_
_atom_site_label
_atom_site_type_symbol
_atom_site_fract_x
_atom_site_fract_y
_atom_site_fract_z
Mn1 Mn 0.000 0.000 0.000
Mn2 Mn 0.248 0.000 0.783
Ru1 Ru 0.012 0.500 0.579
Pb1 Pb 0.256 0.500 0.284

***

# Nb2PtN PBE optimized geometry
# Magnetization: 0.00 μB/cell
# Formation energy from raw total energies: -687 meV per atom
data_Nb2PtN
_symmetry_space_group_name_H-M 'R -3 m'
_symmetry_Int_Tables_number 166
_symmetry_space_group_name_Hall '-R 3 2"'
_cell_length_a 3.1325
_cell_length_b 3.1325
_cell_length_c 20.4708
_cell_angle_alpha 90.00
_cell_angle_beta 90.00
_cell_angle_gamma 120.00
loop_
_atom_site_label
_atom_site_type_symbol
_atom_site_fract_x
_atom_site_fract_y
_atom_site_fract_z
Nb1 Nb 0.0000 0.0000 0.2243
Pt1 Pt 0.0000 0.0000 0.0000
N1 N 0.0000 0.0000 0.5000

***

# Ho3ErTl3 PBE optimized geometry
# Magnetization: 0.00 μB/cell
# Energy of formation: -199 meV per atom
data_Ho3ErTl3
_symmetry_space_group_name_H-M 'P 63/m'
_symmetry_Int_Tables_number 176
_symmetry_space_group_name_Hall '-P 6c'
_cell_length_a 9.3270
_cell_length_b 9.3270
_cell_length_c 5.2423
_cell_angle_alpha 90.00
_cell_angle_beta 90.00
_cell_angle_gamma 120.00
loop_
_atom_site_label
_atom_site_type_symbol
_atom_site_fract_x
_atom_site_fract_y
_atom_site_fract_z
Ho1 Ho 0.0043 0.2345 0.2500
Er1 Er 0.3333 0.6667 0.2500
Tl1 Tl 0.0714 0.4494 0.7500

***

# RbGeAs3 PBE optimized geometry
# Magnetization: 0.00 μB/cell
# Energy of formation: 372 meV per atom
data_RbGeAs3
_symmetry_space_group_name_H-M 'P m -3 m'
_symmetry_Int_Tables_number 221
_symmetry_space_group_name_Hall '-P 4 2 3'
_cell_length_a 5.163
_cell_length_b 5.163
_cell_length_c 5.163
_cell_angle_alpha 90.00
_cell_angle_beta 90.00
_cell_angle_gamma 90.00
loop_
_atom_site_label
_atom_site_type_symbol
_atom_site_fract_x
_atom_site_fract_y
_atom_site_fract_z
Rb1 Rb 0.000 0.000 0.000
Ge1 Ge 0.500 0.500 0.500
As1 As 0.000 0.500 0.500

***

# SbTe2OsS PBE optimized geometry
# Magnetization: 0.00 μB/cell
# Formation energy from raw total energies: 1460 meV per atom
data_SbTe2OsS
_symmetry_space_group_name_H-M 'P 4/m m m'
_symmetry_Int_Tables_number 123
_symmetry_space_group_name_Hall '-P 4 2'
_cell_length_a 4.999
_cell_length_b 4.999
_cell_length_c 5.048
_cell_angle_alpha 90.00
_cell_angle_beta 90.00
_cell_angle_gamma 90.00
loop_
_atom_site_label
_atom_site_type_symbol
_atom_site_fract_x
_atom_site_fract_y
_atom_site_fract_z
Sb1 Sb 0.000 0.000 0.000
Te1 Te 0.000 0.500 0.500
Os1 Os 0.500 0.500 0.000
S1 S 0.000 0.000 0.500

***

# Li3AgGe PBE optimized geometry
# Magnetization: 0.00 μB/cell
# Energy of formation: 232 meV per atom
data_Li3AgGe
_symmetry_space_group_name_H-M 'P m -3 m'
_symmetry_Int_Tables_number 221
_symmetry_space_group_name_Hall '-P 4 2 3'
_cell_length_a 4.731
_cell_length_b 4.731
_cell_length_c 4.731
_cell_angle_alpha 90.00
_cell_angle_beta 90.00
_cell_angle_gamma 90.00
loop_
_atom_site_label
_atom_site_type_symbol
_atom_site_fract_x
_atom_site_fract_y
_atom_site_fract_z
Li1 Li 0.000 0.000 0.500
Ag1 Ag 0.000 0.000 0.000
Ge1 Ge 0.500 0.500 0.500